# 1
Below is an optimized crystal structure of Co3PtRh, with properties calculated at the GGA-PBE level.

```
Co3PtRh
1.0
4.4509 0.0000 0.0000
0.0000 4.4509 0.0000
0.0000 0.0000 4.4509
Co Rh Pt
3 1 1
Cartesian
0.0000 2.2254 0.0000 Co
0.0000 0.0000 2.2254 Co
2.2254 0.0000 0.0000 Co
0.0000 0.0000 0.0000 Rh
2.2254 2.2254 2.2254 Pt
```

Its density of states at the Fermi level is 8.84 states/eV per cell. Its energy is -27.65 eV per cell. The value obtained for the energy of formation is 1412.6 meV/atom. Its space-group type is Pm-3m, No. 221.


# 2
Below is an optimized crystal structure of Th2Ag3, with properties calculated at the GGA-PBE level.

```
Th2Ag3
1.0
3.4039 0.0000 -0.5603
0.0000 4.8231 0.0000
0.6939 0.0000 14.8347
Th Ag
4 6
Cartesian
1.3794 3.6173 8.3797 Th
2.7184 1.2058 5.8947 Th
2.0467 3.6173 1.8144 Th
2.0511 1.2058 12.4600 Th
0.8207 3.6173 4.9857 Ag
3.2771 1.2058 9.2887 Ag
3.5263 3.6173 10.8029 Ag
0.5714 1.2058 3.4715 Ag
0.1149 1.2058 0.6977 Ag
3.9829 3.6173 13.5767 Ag
```

Its density of states at the Fermi level is 10.64 states/eV per cell. Its energy is -47.78 eV per cell. The value obtained for the energy of formation is -99.1 meV/atom. Its space-group type is Cmcm, No. 63.


# 3
Below is an optimized crystal structure of Sm3Ho2Tm5, with properties calculated at the GGA-PBE level.

```
Sm3Ho2Tm5
1.0
-2.9349 -1.5841 -5.2703
7.5029 0.5713 -8.0404
-1.4378 -10.9109 0.3898
Sm Ho Tm
6 4 10
Cartesian
-0.7337 -0.3960 -1.3176 Sm
-2.2012 -1.1881 -3.9527 Sm
0.7236 -10.2578 -4.7005 Sm
2.4066 -1.6660 -8.2203 Sm
3.7881 -5.2296 -11.6089 Sm
-0.6579 -6.6942 -1.3119 Sm
5.1801 -0.3171 -6.4799 Ho
-2.0499 -11.6067 -6.4410 Ho
-2.4386 -9.0090 -3.3149 Ho
5.5688 -2.9148 -9.6059 Ho
2.2988 -5.5658 -5.1428 Tm
0.8314 -6.3579 -7.7780 Tm
3.0530 -8.5192 -8.3655 Tm
-1.3903 -4.1966 -7.1904 Tm
0.0771 -3.4045 -4.5553 Tm
4.5205 -7.7272 -5.7304 Tm
3.5424 -2.5289 -4.9030 Tm
-0.4123 -9.3949 -8.0178 Tm
-0.7047 -6.8908 -4.9172 Tm
3.8349 -5.0330 -8.0036 Tm
```

Its density of states at the Fermi level is 32.79 states/eV per cell. Its energy is -84.40 eV per cell. The value obtained for the energy of formation is 346.9 meV/atom. Its space-group type is Ibam, No. 72.


# 4
Below is an optimized crystal structure of SmHoScRu, with properties calculated at the GGA-PBE level.

```
SmHoScRu
1.0
-4.8707 1.3069 0.5986
-2.6461 -1.8009 3.9427
-1.3489 3.1065 3.7842
Sc Ru Ho Sm
1 1 1 1
Cartesian
-6.6493 1.9594 6.2441 Sc
-2.2164 0.6531 2.0814 Ru
-4.4329 1.3063 4.1628 Ho
0.0000 0.0000 0.0000 Sm
```

Its density of states at the Fermi level is 5.15 states/eV per cell. Its energy is -24.89 eV per cell. The value obtained for the energy of formation is 2.9 meV/atom. Its space-group type is F-43m, No. 216.


# 5
Below is an optimized crystal structure of Er2Cd3Co2, with properties calculated at the GGA-PBE level.

```
Er2Cd3Co2
1.0
-1.0245 -3.4523 -1.1588
2.7839 -1.5178 2.0607
-7.6748 -0.0305 6.8761
Er Cd Co
2 3 2
Cartesian
-2.7042 -1.2736 6.1850 Er
-2.1868 -0.2748 2.7519 Er
-0.1272 -2.6116 1.7181 Cd
-5.7881 -2.3890 6.0599 Cd
0.0000 0.0000 0.0000 Cd
-1.8752 -2.8312 3.9178 Co
-4.0401 -2.1694 3.8602 Co
```

Its density of states at the Fermi level is 5.67 states/eV per cell. Its energy is -27.77 eV per cell. The value obtained for the energy of formation is -241.0 meV/atom. Its space-group type is Cmmm, No. 65.


# 6
Below is an optimized crystal structure of SmGa4Au12, with properties calculated at the GGA-PBE level.

```
SmGa4Au12
1.0
-6.1320 -3.0424 -3.7123
5.2157 -5.6046 1.4227
-2.3371 3.1404 6.7317
Sm Ga Au
1 4 12
Cartesian
0.0000 0.0000 0.0000 Sm
2.6079 -2.8023 0.7114 Ga
-3.0660 -1.5212 -1.8562 Ga
-1.6267 -2.7533 2.2210 Ga
-1.1686 1.5702 3.3658 Ga
-3.8419 -3.9018 -1.3832 Au
0.1292 -3.3421 0.4708 Au
-5.7084 -1.2668 1.6323 Au
-3.0942 0.5570 4.6918 Au
2.4549 -4.2399 2.8097 Au
-3.3826 -2.1645 3.9712 Au
-3.0429 -1.2976 0.6821 Au
-0.2105 -4.2090 3.7600 Au
-0.1592 -6.0636 -0.2498 Au
-2.9359 -4.6774 1.1832 Au
-0.3175 -0.8293 3.2588 Au
0.5885 -1.6048 5.8252 Au
```

Its density of states at the Fermi level is 5.13 states/eV per cell. Its energy is -57.60 eV per cell. The value obtained for the energy of formation is -85.2 meV/atom. Its space-group type is Im-3, No. 204.


# 7
Below is an optimized crystal structure of Zr2NpTc, with properties calculated at the GGA-PBE level.

```
Zr2NpTc
1.0
3.3257 0.0000 0.0000
0.0000 4.9041 0.0000
0.0000 0.0000 4.9041
Np Tc Zr
1 1 2
Cartesian
1.6628 2.4521 2.4521 Np
1.6628 0.0000 0.0000 Tc
0.0000 0.0000 2.4521 Zr
0.0000 2.4521 0.0000 Zr
```

Its density of states at the Fermi level is 7.10 states/eV per cell. Its energy is -39.48 eV per cell. The value obtained for the energy of formation is 230.6 meV/atom. Its space-group type is P4/mmm, No. 123.